NaTe2PtAuS: optimized geometry, PBE.

Total energy (eV per atom): -3.759
Space-group type: Cmcm, No. 63
Crystal system: orthorhombic

a b c (Å): 6.646 6.646 11.204
angles (deg): 90.00 90.00 143.88
Atoms (fractional coordinates):
Na 0.704 0.296 0.750
Te 0.365 0.635 0.518
S 0.970 0.030 0.250
Au 0.608 0.392 0.250
S 0.030 0.970 0.750
Pt 0.000 0.000 0.000
Te 0.635 0.365 0.018
Te 0.635 0.365 0.482
Pt 0.000 0.000 0.500
Na 0.296 0.704 0.250
Te 0.365 0.635 0.982
Au 0.392 0.608 0.750

PtBr2Cl2: optimized geometry, PBE.

Total energy (eV per atom): -2.900
Space-group type: C2/m, No. 12
Crystal system: monoclinic

a b c (Å): 6.790 6.790 8.118
angles (deg): 122.39 122.39 67.01
Atoms (fractional coordinates):
Br 0.307 0.307 0.827
Pt 0.750 0.250 0.000
Br 0.194 0.194 0.173
Br 0.693 0.693 0.173
Pt 0.250 0.750 0.000
Cl 0.250 0.751 0.711
Br 0.806 0.806 0.827
Cl 0.750 0.249 0.289
Cl 0.249 0.750 0.289
Cl 0.751 0.250 0.711

Sr2Mo: optimized geometry, PBE.

Total energy (eV per atom): -3.092
Space-group type: Fd-3m, No. 227
Crystal system: cubic

a b c (Å): 6.852 6.852 6.852
angles (deg): 60.00 60.00 60.00
Atoms (fractional coordinates):
Sr 0.625 0.625 0.125
Mo 0.250 0.250 0.250
Sr 0.125 0.625 0.625
Mo 0.000 0.000 0.000
Sr 0.625 0.125 0.625
Sr 0.625 0.625 0.625